(1)
Material: LaPr2Er2Tm2
Method: DFT, PBE
State: relaxed

Cell lengths 5.743, 5.678, 10.430 Å; angles 58.38, 90.00, 120.38 degrees
Fractional positions:
Er 0.863 0.726 0.208
Er 0.137 0.274 0.792
Pr 0.684 0.368 0.975
Pr 0.316 0.632 0.025
Tm 0.588 0.177 0.616
Tm 0.412 0.823 0.384
La 0.000 0.000 0.500

Properties
The density of states at the Fermi level comes out at 11.945 states/eV/cell. As for the energy relative to the elements: 0.84 eV per formula unit. The crystal system is monoclinic.

(2)
Material: Cs2Tl5Sn2
Method: DFT, PBE
State: relaxed

Cell lengths 10.605, 5.617, 13.222 Å; angles 102.26, 113.64, 90.00 degrees
Fractional positions:
Cs 0.754 0.342 0.716
Cs 0.538 0.126 0.284
Cs 0.246 0.626 0.284
Cs 0.462 0.842 0.716
Tl 0.917 0.234 0.500
Tl 0.858 0.496 0.036
Tl 0.322 0.960 0.964
Tl 0.974 0.110 0.253
Tl 0.678 0.996 0.036
Tl 0.221 0.357 0.747
Tl 0.026 0.857 0.747
Tl 0.142 0.460 0.964
Tl 0.779 0.610 0.253
Tl 0.083 0.734 0.500
Sn 0.781 0.734 0.500
Sn 0.219 0.234 0.500
Sn 0.000 0.978 0.000
Sn 0.500 0.478 0.000

Properties
The density of states at the Fermi level comes out at 8.795 states/eV/cell. As for the energy relative to the elements: -0.42 eV per formula unit. The crystal system is orthorhombic.

(3)
Material: TbFe5Si3
Method: DFT, PBE
State: relaxed

Cell lengths 3.877, 6.378, 10.517 Å; angles 90.00, 90.00, 107.70 degrees
Last column: magnetic moment on the atom in μB.
Fractional positions:
Fe 0.538 0.076 0.641  0.79
Fe 0.000 0.000 0.000  2.43
Fe 0.462 0.924 0.141  0.79
Fe 0.538 0.076 0.859  0.79
Fe 0.187 0.373 0.943  0.41
Fe 0.187 0.373 0.557  0.41
Fe 0.813 0.627 0.443  0.41
Fe 0.000 0.000 0.500  2.43
Fe 0.462 0.924 0.359  0.79
Fe 0.813 0.627 0.057  0.41
Si 0.368 0.736 0.548  -0.04
Si 0.632 0.264 0.452  -0.04
Si 0.095 0.191 0.750  -0.02
Si 0.905 0.809 0.250  -0.02
Si 0.632 0.264 0.048  -0.04
Si 0.368 0.736 0.952  -0.04
Tb 0.196 0.392 0.250  -0.09
Tb 0.804 0.608 0.750  -0.09

Properties
The density of states at the Fermi level comes out at 17.628 states/eV/cell. The raw formation energy comes out at -0.4237 eV/atom. The crystal system is orthorhombic.

(4)
Material: Na2CdPtN
Method: DFT, PBE
State: relaxed

Cell lengths 5.154, 5.154, 3.788 Å; angles 90.00, 90.00, 90.00 degrees
Fractional positions:
Na 0.500 0.000 0.000
Na 0.000 0.500 0.000
Cd 0.500 0.500 0.500
N 0.000 0.000 0.000
Pt 0.000 0.000 0.500

Properties
The density of states at the Fermi level comes out at 3.041 states/eV/cell. The raw formation energy comes out at -0.0904 eV/atom. The crystal system is tetragonal.

(5)
Material: Rb2Ba2Tl
Method: DFT, PBE
State: relaxed

Cell lengths 9.255, 9.255, 7.034 Å; angles 90.00, 90.00, 90.00 degrees
Fractional positions:
Tl 0.500 0.500 0.000
Tl 0.000 0.000 0.000
Ba 0.686 0.814 0.500
Ba 0.314 0.186 0.500
Ba 0.186 0.686 0.500
Ba 0.814 0.314 0.500
Rb 0.358 0.858 0.000
Rb 0.858 0.642 0.000
Rb 0.142 0.358 0.000
Rb 0.642 0.142 0.000

Properties
The density of states at the Fermi level comes out at 22.298 states/eV/cell. As for the energy relative to the elements: 0.97 eV per formula unit. The crystal system is tetragonal. For the relative energy among the computed polymorphs, the calculation gives 140.8 meV/atom.

(6)
Material: Y5Al2
Method: DFT, PBE
State: relaxed

Cell lengths 6.625, 7.976, 8.990 Å; angles 116.33, 111.62, 90.00 degrees
Fractional positions:
Al 0.374 0.646 0.747
Al 0.874 0.101 0.747
Al 0.126 0.899 0.253
Al 0.626 0.354 0.253
Y 0.484 0.734 0.467
Y 0.016 0.266 0.533
Y 0.516 0.266 0.533
Y 0.750 0.500 0.000
Y 0.584 0.924 0.168
Y 0.416 0.076 0.832
Y 0.250 0.500 0.000
Y 0.984 0.734 0.467
Y 0.916 0.756 0.832
Y 0.084 0.244 0.168

Properties
The density of states at the Fermi level comes out at 18.091 states/eV/cell. As for the energy relative to the elements: -1.40 eV per formula unit. The crystal system is orthorhombic.

(7)
Material: NdTmCdPd
Method: DFT, PBE
State: relaxed

Cell lengths 5.178, 5.178, 5.178 Å; angles 60.00, 60.00, 60.00 degrees
Fractional positions:
Nd 0.000 0.000 0.000
Cd 0.750 0.750 0.750
Tm 0.500 0.500 0.500
Pd 0.250 0.250 0.250

Properties
The density of states at the Fermi level comes out at 3.229 states/eV/cell. As for the energy relative to the elements: -2.04 eV per formula unit. The crystal system is cubic.

(8)
Material: TmMgBi2
Method: DFT, PBE
State: relaxed

Cell lengths 4.540, 4.540, 7.367 Å; angles 72.05, 72.05, 60.00 degrees
Fractional positions:
Bi 0.084 0.084 0.749
Bi 0.251 0.251 0.247
Mg 0.498 0.498 0.507
Tm 0.668 0.668 0.997

Properties
The density of states at the Fermi level comes out at 2.123 states/eV/cell. As for the energy relative to the elements: -1.46 eV per formula unit. The crystal system is trigonal. For the relative energy among the computed polymorphs, the calculation gives 36.4 meV/atom.

(9)
Material: Ta2V3Tc
Method: DFT, PBE
State: relaxed

Cell lengths 5.097, 5.097, 5.054 Å; angles 89.92, 120.32, 120.06 degrees
Fractional positions:
Ta 0.750 0.375 0.125
Ta 0.250 0.625 0.875
V 0.500 0.500 0.500
V 0.500 0.000 0.500
V 0.000 0.000 0.500
Tc 0.000 0.000 0.000

Properties
The density of states at the Fermi level comes out at 2.866 states/eV/cell. As for the energy relative to the elements: -1.62 eV per formula unit. The crystal system is trigonal.

(10)
Material: TbNd3Sm3Zn2
Method: DFT, PBE
State: relaxed

Cell lengths 3.681, 9.208, 9.208 Å; angles 120.00, 90.00, 90.00 degrees
Fractional positions:
Nd 0.500 0.687 0.000
Nd 0.500 0.313 0.313
Nd 0.500 0.000 0.687
Zn 0.500 0.333 0.667
Zn 0.500 0.667 0.333
Tb 0.000 0.000 0.000
Sm 0.000 0.000 0.377
Sm 0.000 0.623 0.623
Sm 0.000 0.377 0.000

Properties
The density of states at the Fermi level comes out at 13.393 states/eV/cell. As for the energy relative to the elements: -0.14 eV per formula unit. The crystal system is hexagonal.

Number 1: DFT total energy -4.53 eV per atom. Number 2: DFT total energy -2.44 eV per atom. Number 3: DFT total energy -7.45 eV per atom. Number 4: DFT total energy -3.67 eV per atom. Number 5: DFT total energy -1.44 eV per atom. Number 6: DFT total energy -5.89 eV per atom. Number 7: DFT total energy -4.35 eV per atom. Number 8: DFT total energy -3.82 eV per atom. Number 9: DFT total energy -10.51 eV per atom. Number 10: DFT total energy -3.98 eV per atom.